A crystal of CaInHg relaxed with PBEsol. Source: Alexandria via LeMat-Bulk, functional meta-GGA SCAN.

abc: 4.8934 4.8934 3.5788
angles: 90.00 90.00 120.00
Element x y z (fractional)
Ca: 0.0000 0.0000 0.0000
In: 0.6667 0.3333 0.5000
Hg: 0.3333 0.6667 0.5000

Values from the calculation:
Total DFT energy (no corrections) in eV for the cell shown: -113.10
Total magnetic moment in μB/f.u.: 0.00
Formation enthalpy at 0 K in meV/atom: -628.7

A crystal of NbNiMo2 relaxed with PBEsol. Source: Alexandria via LeMat-Bulk, functional meta-GGA SCAN.

abc: 4.3684 4.3684 4.3684
angles: 60.00 60.00 60.00
Element x y z (fractional)
Nb: 0.0000 0.0000 0.0000
Ni: 0.5000 0.5000 0.5000
Mo: 0.2500 0.2500 0.2500
Mo: 0.7500 0.7500 0.7500

Values from the calculation:
Total DFT energy (no corrections) in eV for the cell shown: -117.99
Total magnetic moment in μB/f.u.: 0.00
Formation enthalpy at 0 K in meV/atom: 271.2

A crystal of Hf3CdSn relaxed with PBEsol. Source: Alexandria via LeMat-Bulk, functional meta-GGA SCAN.

abc: 5.1629 5.1629 5.1629
angles: 90.00 90.00 90.00
Element x y z (fractional)
Hf: 0.0000 0.0000 0.5000
Hf: 0.0000 0.5000 0.0000
Hf: 0.5000 0.0000 0.0000
Cd: 0.5000 0.5000 0.5000
Sn: 0.0000 0.0000 0.0000

Values from the calculation:
Total DFT energy (no corrections) in eV for the cell shown: -249.43
Total magnetic moment in μB/f.u.: 0.00
Formation enthalpy at 0 K in meV/atom: 985.3

A crystal of Y2HgPb relaxed with PBEsol. Source: Alexandria via LeMat-Bulk, functional meta-GGA SCAN.

abc: 6.2251 6.2251 6.2251
angles: 142.05 135.37 59.99
Element x y z (fractional)
Y: 0.0000 0.0000 0.0000
Y: 0.7395 0.2395 0.5000
Hg: 0.2481 0.7481 0.5000
Pb: 0.4711 0.4711 0.0000

Values from the calculation:
Total DFT energy (no corrections) in eV for the cell shown: -202.30
Total magnetic moment in μB/f.u.: 0.00
Formation enthalpy at 0 K in meV/atom: -667.0

A crystal of InOs3W relaxed with PBEsol. Source: Alexandria via LeMat-Bulk, functional meta-GGA SCAN.

abc: 4.6833 4.6833 4.6833
angles: 90.00 90.00 90.00
Element x y z (fractional)
In: 0.0000 0.0000 0.0000
Os: 0.0000 0.5000 0.5000
Os: 0.5000 0.0000 0.5000
Os: 0.5000 0.5000 0.0000
W: 0.5000 0.5000 0.5000

Values from the calculation:
Total DFT energy (no corrections) in eV for the cell shown: -308.09
Total magnetic moment in μB/f.u.: 0.00
Formation enthalpy at 0 K in meV/atom: 2125.5

A crystal of Cd2CoBr relaxed with PBEsol. Source: Alexandria via LeMat-Bulk, functional meta-GGA SCAN.

abc: 6.8002 6.8002 6.8002
angles: 154.96 145.36 43.22
Element x y z (fractional)
Cd: 0.1854 0.1854 0.0000
Cd: 0.8146 0.8146 0.0000
Co: 0.0000 0.5000 0.5000
Br: 0.5000 0.0000 0.5000

Values from the calculation:
Total DFT energy (no corrections) in eV for the cell shown: -96.75
ΔE_f (raw) in kJ/mol of formula units: 81
Total magnetic moment in μB/f.u.: 1.74
Energy relative to the lowest polymorph listed for this composition in meV per atom: 101

| no. | D(E_F) (states/eV/f.u.) |
| --- | --- |
| 1 | 0.8 |
| 2 | 5.3 |
| 3 | 3.0 |
| 4 | 2.6 |
| 5 | 3.7 |
| 6 | 1.0 |